Density functional theory data (PBE-GGA) for crystalline NdMg3Au2 at its relaxed geometry.

Computed properties:
The value obtained for the calculated total energy is -3.199 eV/atom. The energy of formation from the pure elements comes out at -0.5142 eV per atom. Its space group is Immm (71). The theoretical density is 7.31 g cm⁻³.

Cell lengths 8.848, 8.848, 8.848 Å; angles 153.28, 115.67, 70.94 degrees
Element x y z (fractional)
Nd 0.868 0.368 0.500
Nd 0.132 0.632 0.500
Mg 0.862 0.167 0.696
Mg 0.529 0.833 0.696
Mg 0.138 0.833 0.304
Mg 0.654 0.500 0.154
Mg 0.346 0.500 0.846
Mg 0.471 0.167 0.304
Au 0.846 0.000 0.846
Au 0.309 0.309 0.000
Au 0.691 0.691 0.000
Au 0.154 0.000 0.154



Density functional theory data (PBE-GGA) for crystalline Li2MgNpTe4 at its relaxed geometry.

Computed properties:
The value obtained for the calculated total energy is -4.655 eV/atom. Its space group is P2/m (10). For the uncorrected formation energy, the calculation gives -0.789 eV/atom. The theoretical density is 5.89 g cm⁻³.

Cell lengths 4.314, 7.354, 7.407 Å; angles 109.46, 90.00, 90.00 degrees
Element x y z (fractional)
Li 0.500 0.000 0.500
Li 0.000 0.500 0.500
Te 0.000 0.258 0.755
Te 0.000 0.742 0.245
Te 0.500 0.253 0.257
Te 0.500 0.747 0.743
Np 0.000 0.000 0.000
Mg 0.500 0.500 0.000



Density functional theory data (PBE-GGA) for crystalline KNaGaSn at its relaxed geometry.

Computed properties:
The value obtained for the calculated total energy is -2.418 eV/atom. The energy of formation from the pure elements comes out at -0.0564 eV per atom. Its space group is F-43m (216). The theoretical density is 3.75 g cm⁻³.

Cell lengths 5.391, 5.391, 5.391 Å; angles 60.00, 60.00, 60.00 degrees
Element x y z (fractional)
Na 0.000 0.000 0.000
Ga 0.500 0.500 0.500
K 0.750 0.750 0.750
Sn 0.250 0.250 0.250



Density functional theory data (PBE-GGA) for crystalline CrReTc at its relaxed geometry.

Computed properties:
The value obtained for the calculated total energy is -10.689 eV/atom. The energy of formation from the pure elements comes out at 0.1232 eV per atom. Its space group is P3m1 (156). The theoretical density is 13.36 g cm⁻³.

Cell lengths 4.255, 4.255, 2.665 Å; angles 90.00, 90.00, 120.00 degrees
Element x y z (fractional)
Tc 0.667 0.333 0.679
Cr 0.000 0.000 0.036
Re 0.333 0.667 0.285



Density functional theory data (PBE-GGA) for crystalline TlFe2I at its relaxed geometry.

Computed properties:
The value obtained for the calculated total energy is -3.997 eV/atom. Its space group is Fm-3m (225). For the uncorrected formation energy, the calculation gives 1.214 eV/atom. The theoretical density is 10.67 g cm⁻³.

Cell lengths 4.602, 4.602, 4.602 Å; angles 60.00, 60.00, 60.00 degrees
Element x y z (fractional)
Fe 0.750 0.750 0.750
Fe 0.250 0.250 0.250
Tl 0.500 0.500 0.500
I 0.000 0.000 0.000



Density functional theory data (PBE-GGA) for crystalline Ce6Y at its relaxed geometry.

Computed properties:
The value obtained for the calculated total energy is -5.360 eV/atom. The energy of formation from the pure elements comes out at 0.6492 eV per atom. Its space group is Im-3m (229). The theoretical density is 7.04 g cm⁻³.

Cell lengths 6.581, 6.581, 6.581 Å; angles 109.47, 109.47, 109.47 degrees
Element x y z (fractional)
Ce 0.750 0.500 0.250
Ce 0.750 0.250 0.500
Ce 0.500 0.750 0.250
Ce 0.500 0.250 0.750
Ce 0.250 0.750 0.500
Ce 0.250 0.500 0.750
Y 0.000 0.000 0.000



Density functional theory data (PBE-GGA) for crystalline Tb2PrSe5 at its relaxed geometry.

Computed properties:
The value obtained for the calculated total energy is -5.582 eV/atom. Its space group is I4/mcm (140). For the uncorrected formation energy, the calculation gives -1.649 eV/atom. The theoretical density is 7.20 g cm⁻³.

Cell lengths 7.702, 7.702, 8.585 Å; angles 116.65, 116.65, 90.00 degrees
Element x y z (fractional)
Tb 0.656 0.156 0.000
Tb 0.156 0.344 0.000
Tb 0.344 0.844 0.000
Tb 0.844 0.656 0.000
Se 0.300 0.800 0.292
Se 0.200 0.008 0.708
Se 0.492 0.300 0.292
Se 0.500 0.500 0.000
Se 0.008 0.508 0.708
Se 0.700 0.200 0.708
Se 0.800 0.992 0.292
Se 0.000 0.000 0.000
Se 0.508 0.700 0.708
Se 0.992 0.492 0.292
Pr 0.750 0.750 0.500
Pr 0.250 0.250 0.500



Density functional theory data (PBE-GGA) for crystalline Pm3PrCo at its relaxed geometry.

Computed properties:
The value obtained for the calculated total energy is -5.200 eV/atom. The energy of formation from the pure elements comes out at 0.0273 eV per atom. Its space group is P2_1/c (14). The theoretical density is 7.14 g cm⁻³.

Cell lengths 7.650, 7.980, 10.096 Å; angles 106.65, 90.00, 90.00 degrees
Element x y z (fractional)
Pm 0.803 0.406 0.465
Pm 0.197 0.594 0.535
Pm 0.697 0.406 0.965
Pm 0.501 0.790 0.387
Pm 0.303 0.594 0.035
Pm 0.001 0.210 0.113
Pm 0.370 0.068 0.885
Pm 0.999 0.790 0.887
Pm 0.130 0.068 0.385
Pm 0.499 0.210 0.613
Pm 0.870 0.932 0.615
Pm 0.630 0.932 0.115
Co 0.743 0.052 0.397
Co 0.257 0.948 0.603
Co 0.757 0.052 0.897
Co 0.243 0.948 0.103
Pr 0.440 0.321 0.251
Pr 0.940 0.679 0.249
Pr 0.060 0.321 0.751
Pr 0.560 0.679 0.749



Density functional theory data (PBE-GGA) for crystalline Pm3NdS6 at its relaxed geometry.

Computed properties:
The value obtained for the calculated total energy is -6.409 eV/atom. Its space group is R-3 (148). For the uncorrected formation energy, the calculation gives -2.031 eV/atom. The theoretical density is 4.51 g cm⁻³.

Cell lengths 8.284, 8.284, 8.284 Å; angles 91.14, 91.14, 91.14 degrees
Element x y z (fractional)
Nd 0.500 0.500 0.500
Nd 0.000 0.000 0.000
S 0.598 0.821 0.467
S 0.179 0.533 0.402
S 0.533 0.402 0.179
S 0.467 0.598 0.821
S 0.683 0.095 0.921
S 0.079 0.317 0.905
S 0.821 0.467 0.598
S 0.921 0.683 0.095
S 0.905 0.079 0.317
S 0.402 0.179 0.533
S 0.095 0.921 0.683
S 0.317 0.905 0.079
Pm 0.752 0.436 0.926
Pm 0.436 0.926 0.752
Pm 0.564 0.074 0.248
Pm 0.926 0.752 0.436
Pm 0.248 0.564 0.074
Pm 0.074 0.248 0.564



Density functional theory data (PBE-GGA) for crystalline Sr2TaCl at its relaxed geometry.

Computed properties:
The value obtained for the calculated total energy is -4.440 eV/atom. Its space group is P4/mmm (123). For the uncorrected formation energy, the calculation gives -0.174 eV/atom. The theoretical density is 5.87 g cm⁻³.

Cell lengths 3.447, 3.448, 9.942 Å; angles 69.68, 90.00, 90.00 degrees
Element x y z (fractional)
Cl 0.500 0.750 0.750
Sr 0.000 0.011 0.989
Sr 0.000 0.489 0.511
Ta 0.500 0.250 0.250



Density functional theory data (PBE-GGA) for crystalline LaLuInGa at its relaxed geometry.

Computed properties:
The value obtained for the calculated total energy is -4.285 eV/atom. The energy of formation from the pure elements comes out at -0.4812 eV per atom. Its space group is F-43m (216). The theoretical density is 7.89 g cm⁻³.

Cell lengths 5.293, 5.293, 5.293 Å; angles 60.00, 60.00, 60.00 degrees
Element x y z (fractional)
La 0.500 0.500 0.500
Lu 0.000 0.000 0.000
In 0.750 0.750 0.750
Ga 0.250 0.250 0.250



Density functional theory data (PBE-GGA) for crystalline CoMo2W at its relaxed geometry.

Computed properties:
The value obtained for the calculated total energy is -10.256 eV/atom. The energy of formation from the pure elements comes out at 0.1741 eV per atom. Its space group is Pmmm (47). The theoretical density is 12.18 g cm⁻³.

Cell lengths 3.208, 4.280, 4.315 Å; angles 90.00, 90.00, 90.00 degrees
Element x y z (fractional)
Mo 0.500 0.500 0.000
Mo 0.000 0.000 0.000
Co 0.000 0.500 0.500
W 0.500 0.000 0.500



Please write out number 2 again, unchanged.
Density functional theory data (PBE-GGA) for crystalline Li2MgNpTe4 at its relaxed geometry.

Computed properties:
The value obtained for the calculated total energy is -4.655 eV/atom. Its space group is P2/m (10). For the uncorrected formation energy, the calculation gives -0.789 eV/atom. The theoretical density is 5.89 g cm⁻³.

Cell lengths 4.314, 7.354, 7.407 Å; angles 109.46, 90.00, 90.00 degrees
Element x y z (fractional)
Li 0.500 0.000 0.500
Li 0.000 0.500 0.500
Te 0.000 0.258 0.755
Te 0.000 0.742 0.245
Te 0.500 0.253 0.257
Te 0.500 0.747 0.743
Np 0.000 0.000 0.000
Mg 0.500 0.500 0.000